Record 1
Density functional theory data (PBE) for a relaxed structure of TaSbMo2Ru.

## Properties
Total DFT energy (no corrections) in eV per cell: -40.65
Space-group type: P4/mmm, No. 123
Formation energy without anion corrections in eV per atom: 1.252

abc: 4.742 4.798 4.742
angles: 90.00 90.00 90.00
Element x y z (fractional)
Ta: 0.000 0.500 0.000
Mo: 0.000 0.000 0.500
Mo: 0.500 0.000 0.000
Ru: 0.000 0.000 0.000
Sb: 0.500 0.500 0.500



Record 2
Density functional theory data (PBE) for a relaxed structure of Sb2TeMoRu.

## Properties
Total DFT energy (no corrections) in eV per cell: -26.42
Space-group type: P4/mmm, No. 123
ΔE to the lowest computed polymorph in eV/f.u.: 0.00
Formation energy without anion corrections in eV per atom: 1.014

abc: 4.963 4.963 5.607
angles: 90.00 90.00 90.00
Element x y z (fractional)
Sb: 0.000 0.500 0.000
Sb: 0.500 0.000 0.000
Mo: 0.500 0.500 0.500
Te: 0.000 0.000 0.500
Ru: 0.000 0.000 0.000



Record 3
Density functional theory data (PBE) for a relaxed structure of SbTe2MoRu.

## Properties
Total DFT energy (no corrections) in eV per cell: -25.35
Space-group type: P4/mmm, No. 123
ΔE to the lowest computed polymorph in eV/f.u.: 0.00
Formation energy without anion corrections in eV per atom: 1.033

abc: 5.304 5.304 4.909
angles: 90.00 90.00 90.00
Element x y z (fractional)
Te: 0.000 0.500 0.000
Te: 0.500 0.000 0.000
Sb: 0.000 0.000 0.500
Ru: 0.000 0.000 0.000
Mo: 0.500 0.500 0.500



Record 4
Density functional theory data (PBE) for a relaxed structure of TiSbMoRu.

## Properties
Total DFT energy (no corrections) in eV per cell: -33.13
Space-group type: F-43m, No. 216
Formation energy without anion corrections in eV per atom: -0.253

abc: 4.506 4.506 4.506
angles: 60.00 60.00 60.00
Element x y z (fractional)
Mo: 0.000 0.000 0.000
Ti: 0.250 0.250 0.250
Sb: 0.750 0.750 0.750
Ru: 0.500 0.500 0.500



Record 5
Density functional theory data (PBE) for a relaxed structure of VSbMoRu.

## Properties
Total DFT energy (no corrections) in eV per cell: -33.51
Space-group type: F-43m, No. 216
Formation energy without anion corrections in eV per atom: -0.040

abc: 4.457 4.457 4.457
angles: 60.00 60.00 60.00
Element x y z (fractional)
Mo: 0.250 0.250 0.250
Ru: 0.750 0.750 0.750
V: 0.500 0.500 0.500
Sb: 0.000 0.000 0.000



Record 6
Density functional theory data (PBE) for a relaxed structure of ScMoRu2.

## Properties
Energy relative to the elements in eV/atom: 0.031
Total DFT energy (no corrections) in eV per cell: -35.59
Space-group type: P4mm, No. 99

abc: 3.154 3.154 6.392
angles: 90.00 90.00 90.00
Element x y z (fractional)
Ru: 0.000 0.000 0.985
Ru: 0.500 0.500 0.256
Sc: 0.000 0.000 0.485
Mo: 0.500 0.500 0.773



Record 7
Density functional theory data (PBE) for a relaxed structure of ScMoRu2.

## Properties
Energy relative to the elements in eV/atom: 0.022
Total DFT energy (no corrections) in eV per cell: -35.62
Space-group type: Cmmm, No. 65

abc: 2.817 2.817 8.498
angles: 90.00 90.00 110.72
Element x y z (fractional)
Sc: 0.500 0.500 0.250
Ru: 0.000 0.000 0.506
Ru: 0.000 0.000 0.994
Mo: 0.500 0.500 0.750



Record 8
Density functional theory data (PBE) for a relaxed structure of ScMoRu2.

## Properties
Energy relative to the elements in eV/atom: -0.005
Total DFT energy (no corrections) in eV per cell: -35.74
Space-group type: I-4m2, No. 119

abc: 5.200 5.200 5.200
angles: 137.49 137.49 61.68
Element x y z (fractional)
Ru: 0.250 0.750 0.500
Ru: 0.000 0.000 0.000
Sc: 0.500 0.500 0.000
Mo: 0.750 0.250 0.500



Record 9
Density functional theory data (PBE) for a relaxed structure of Sc2MoRu.

## Properties
Energy relative to the elements in eV/atom: -0.032
Total DFT energy (no corrections) in eV per cell: -32.90
Space-group type: Immm, No. 71
ΔE to the lowest computed polymorph in eV/f.u.: 0.62

abc: 5.329 5.329 4.906
angles: 62.62 62.62 34.72
Element x y z (fractional)
Sc: 0.987 0.987 0.013
Sc: 0.513 0.513 0.487
Ru: 0.250 0.250 0.250
Mo: 0.750 0.750 0.750



Record 10
Density functional theory data (PBE) for a relaxed structure of ScMoRu2.

## Properties
Energy relative to the elements in eV/atom: -0.227
Total DFT energy (no corrections) in eV per cell: -36.62
Space-group type: P4/mmm, No. 123

abc: 4.501 3.083 4.501
angles: 90.00 90.00 90.00
Element x y z (fractional)
Ru: 0.500 0.125 0.375
Ru: 0.000 0.126 0.875
Mo: 0.500 0.625 0.875
Sc: 0.000 0.625 0.375



Record 11
Density functional theory data (PBE) for a relaxed structure of Sc2MoRu.

## Properties
Energy relative to the elements in eV/atom: -0.188
Total DFT energy (no corrections) in eV per cell: -33.52
Space-group type: Imm2, No. 44
ΔE to the lowest computed polymorph in eV/f.u.: 0.00

abc: 5.573 5.573 4.621
angles: 65.51 65.51 33.47
Element x y z (fractional)
Mo: 0.523 0.523 0.477
Sc: 0.981 0.981 0.019
Sc: 0.760 0.760 0.740
Ru: 0.237 0.237 0.264



Record 12
Density functional theory data (PBE) for a relaxed structure of ScMoRu2.

## Properties
Energy relative to the elements in eV/atom: 0.291
Total DFT energy (no corrections) in eV per cell: -69.10
Space-group type: I-42d, No. 122

abc: 7.043 7.043 5.725
angles: 52.04 52.04 90.00
Element x y z (fractional)
Mo: 0.000 0.000 0.000
Mo: 0.750 0.250 0.500
Sc: 0.250 0.750 0.500
Sc: 0.500 0.500 0.000
Ru: 0.659 0.125 0.250
Ru: 0.875 0.909 0.750
Ru: 0.091 0.625 0.250
Ru: 0.375 0.341 0.750



Record 13
Density functional theory data (PBE) for a relaxed structure of Sc2MoRu.

## Properties
Energy relative to the elements in eV/atom: -0.008
Total DFT energy (no corrections) in eV per cell: -32.80
Space-group type: Fm-3m, No. 225
ΔE to the lowest computed polymorph in eV/f.u.: 0.72

abc: 4.620 4.620 4.620
angles: 60.00 60.00 60.00
Element x y z (fractional)
Ru: 0.500 0.500 0.500
Mo: 0.000 0.000 0.000
Sc: 0.250 0.250 0.250
Sc: 0.750 0.750 0.750



Record 14
Density functional theory data (PBE) for a relaxed structure of ScMoRu4.

## Properties
Energy relative to the elements in eV/atom: 0.021
Total DFT energy (no corrections) in eV per cell: -54.14
Space-group type: F-43m, No. 216

abc: 5.115 5.115 5.115
angles: 60.00 60.00 60.00
Element x y z (fractional)
Sc: 0.750 0.750 0.750
Ru: 0.375 0.375 0.375
Ru: 0.375 0.874 0.375
Ru: 0.874 0.375 0.375
Ru: 0.375 0.375 0.874
Mo: 0.000 0.000 0.000



Record 15
Density functional theory data (PBE) for a relaxed structure of Sc2MoRu.

## Properties
Energy relative to the elements in eV/atom: 0.371
Total DFT energy (no corrections) in eV per cell: -62.57
Space-group type: I-42d, No. 122
ΔE to the lowest computed polymorph in eV/f.u.: 2.24

abc: 7.278 7.278 5.860
angles: 51.61 51.61 90.00
Element x y z (fractional)
Mo: 0.500 0.500 0.000
Mo: 0.250 0.750 0.500
Sc: 0.651 0.125 0.250
Sc: 0.875 0.901 0.750
Sc: 0.099 0.625 0.250
Sc: 0.375 0.349 0.750
Ru: 0.000 0.000 0.000
Ru: 0.750 0.250 0.500